[1]
ZrIrPb | PBE-GGA | optimized geometry

Output
- Theoretical density: 12.5 g/cm3

```
ZrIrPb
1.0
6.3314 0.0309 0.0135
4.5530 4.3997 -0.0135
-5.3721 -2.3875 2.3512
Ir Pb Zr
1 1 1
Direct
0.9805 0.9805 0.0000
0.6559 0.6559 0.0000
0.3637 0.3637 0.0000
```

[2]
ZrIr3Pb | PBE-GGA | optimized geometry

Output
- Theoretical density: 12.1 g/cm3
- Polymorph energy (0 for the lowest one): 0 meV/atom

```
ZrIr3Pb
1.0
4.9393 0.0000 0.0000
0.0000 4.9393 0.0000
0.0000 0.0000 4.9393
Pb Ir Zr
1 3 1
Direct
0.5000 0.5000 0.5000
0.0000 0.5000 0.0000
0.0000 0.0000 0.5000
0.5000 0.0000 0.0000
0.0000 0.0000 0.0000
```

[3]
Ir2Pd | PBE-GGA | optimized geometry

Output
- Theoretical density: 18.3 g/cm3
- Polymorph energy (0 for the lowest one): 0 meV/atom

```
Ir2Pd
1.0
-0.7621 2.0041 1.7321
0.9629 -1.4694 2.1238
5.1403 2.2649 -2.5520
Ir Pd
2 1
Direct
0.6726 0.6726 0.3452
0.3274 0.3274 0.6548
0.0000 0.0000 0.0000
```

Calculated E_tot (eV per formula unit), listed in the same order as above: -21.80 -32.61 -22.64